No. 1
## PrPPd (PBE)

Data for PrPPd after structural relaxation.

Computed properties:
* SG: No. 107
* final energy: -5.830 eV per atom
* ΔE_f: -2.1 eV/f.u.

POSCAR file:
```
PrPPd
1.0
-1.765 2.872 2.248
-3.399 -0.389 -2.171
1.244 -4.104 2.569
Pr Pd P
1 1 1
direct
0.619 0.619 0.239
0.261 0.261 0.522
0.970 0.970 0.940
```

No. 2
## Pr3P3Pd2 (PBE)

Data for Pr3P3Pd2 after structural relaxation.

Computed properties:
* SG: No. 63
* final energy: -6.233 eV per atom
* ΔE_f: -8.9 eV/f.u.

POSCAR file:
```
Pr3P3Pd2
1.0
4.205 0.000 0.000
-2.103 5.548 0.000
0.000 0.000 14.427
Pr P Pd
6 6 4
direct
0.924 0.848 0.392
0.076 0.152 0.892
0.641 0.282 0.250
0.076 0.152 0.608
0.924 0.848 0.108
0.359 0.718 0.750
0.375 0.750 0.548
0.346 0.692 0.250
0.375 0.750 0.952
0.625 0.250 0.048
0.625 0.250 0.452
0.654 0.308 0.750
0.220 0.440 0.405
0.220 0.440 0.095
0.780 0.560 0.595
0.780 0.560 0.905
```

No. 3
## Pr2P3Pd6 (PBE)

Data for Pr2P3Pd6 after structural relaxation.

Computed properties:
* SG: No. 189
* final energy: -6.064 eV per atom
* ΔE_f: -9.8 eV/f.u.

POSCAR file:
```
Pr2P3Pd6
1.0
4.196 0.000 0.000
0.000 7.401 0.000
0.000 -3.701 6.410
Pr Pd P
2 6 3
direct
0.000 0.333 0.667
0.000 0.667 0.333
0.500 0.000 0.311
0.500 0.689 0.689
0.500 0.311 0.000
0.000 0.000 0.789
0.000 0.789 0.000
0.000 0.211 0.211
0.500 0.363 0.363
0.500 0.637 0.000
0.500 0.000 0.637
```

No. 4
## PrPPd2Pt2 (PBE)

Data for PrPPd2Pt2 after structural relaxation.

Computed properties:
* SG: No. 139
* final energy: -5.589 eV per atom
* ΔE_f: -0.9 eV/f.u.

POSCAR file:
```
PrPPd2Pt2
1.0
5.105 0.000 0.000
0.000 5.105 0.000
-2.553 -2.553 5.167
P Pr Pd Pt
1 1 2 2
direct
0.000 0.000 0.000
0.500 0.500 0.000
0.750 0.250 0.500
0.250 0.750 0.500
0.210 0.210 0.419
0.790 0.790 0.581
```

No. 5
## Pr2P3PdPt12 (PBE)

Data for Pr2P3PdPt12 after structural relaxation.

Computed properties:
* SG: No. 166
* final energy: -6.102 eV per atom
* ΔE_f: -6.4 eV/f.u.

POSCAR file:
```
Pr2P3PdPt12
1.0
7.701 -0.297 -0.211
3.545 6.843 -0.211
3.545 2.063 6.528
Pt Pr P Pd
12 2 3 1
direct
0.127 0.127 0.620
0.344 0.897 0.344
0.873 0.380 0.873
0.344 0.344 0.897
0.873 0.873 0.380
0.103 0.656 0.656
0.656 0.103 0.656
0.620 0.127 0.127
0.380 0.873 0.873
0.656 0.656 0.103
0.127 0.620 0.127
0.897 0.344 0.344
0.612 0.612 0.612
0.388 0.388 0.388
0.000 0.500 0.000
0.500 0.000 0.000
0.000 0.000 0.500
0.000 0.000 0.000
```

No. 6
## Pr2PPd2Pt4 (PBE)

Data for Pr2PPd2Pt4 after structural relaxation.

Computed properties:
* SG: No. 139
* final energy: -6.372 eV per atom
* ΔE_f: -7.8 eV/f.u.

POSCAR file:
```
Pr2PPd2Pt4
1.0
-0.526 0.330 -6.177
2.367 -5.113 2.607
-5.110 -0.494 3.491
Pt P Pd Pr
4 1 2 2
direct
0.532 0.266 0.266
0.000 0.266 0.734
0.000 0.734 0.266
0.468 0.734 0.734
0.000 0.000 0.000
0.000 0.729 0.729
0.000 0.271 0.271
0.500 0.750 0.250
0.500 0.250 0.750
```

- The highest final energy belongs to which entry?
  PrPPd2Pt2